Ho2TmMg3Pd2Pt (PBE, relaxed); DFT total energy = -41.8 eV/cell
1.0
4.100 0.000 0.000
0.000 6.354 3.668
0.000 -6.354 3.668
Ho Tm Mg Pd Pt
2 1 3 2 1
direct
0.000 0.204 0.796
0.000 0.796 0.204
0.000 0.390 0.390
0.500 0.042 0.042
0.500 0.551 0.796
0.500 0.796 0.551
0.500 0.131 0.463
0.500 0.463 0.131
0.000 0.795 0.795

Ho3Mg2ZnPdPt2 (PBE, relaxed); DFT total energy = -43.5 eV/cell
1.0
3.936 0.000 0.000
0.000 6.394 3.700
0.000 -6.394 3.700
Ho Mg Zn Pd Pt
3 2 1 1 2
direct
0.000 0.000 0.000
0.000 0.158 0.556
0.000 0.556 0.158
0.500 0.572 0.815
0.500 0.815 0.572
0.500 0.319 0.319
0.000 0.560 0.560
0.500 0.233 0.894
0.500 0.894 0.233

Ho3MgZn2PdPt2 (PBE, relaxed); DFT total energy = -43.3 eV/cell
1.0
3.878 0.000 0.000
0.000 6.363 3.666
0.000 -6.363 3.666
Ho Mg Zn Pd Pt
3 1 2 1 2
direct
0.000 0.000 0.000
0.000 0.193 0.621
0.000 0.621 0.193
0.500 0.366 0.366
0.500 0.601 0.855
0.500 0.855 0.601
0.000 0.615 0.615
0.500 0.276 0.951
0.500 0.951 0.276

Ho3Mg3Tl2Pd (PBE, relaxed); DFT total energy = -32.2 eV/cell
1.0
7.495 0.000 0.000
-3.747 6.491 0.000
0.000 0.000 4.477
Ho Mg Tl Pd
3 3 2 1
direct
0.000 0.404 0.000
0.404 0.000 0.000
0.596 0.596 0.000
0.000 0.767 0.500
0.233 0.233 0.500
0.767 0.000 0.500
0.333 0.667 0.500
0.667 0.333 0.500
0.000 0.000 0.000

M_tot (computed, μB/atom): 0.00 0.00 0.00 0.00